Entry 1:
# GGA-PBE K4PPd5, optimized geometry
data_K4PPd5
_chemical_formula_sum 'K8 P2 Pd10'
_space_group_name_H-M_alt 'I 4 m m'
_space_group_IT_number 107
_space_group_name_Hall 'I 4 -2'
_cell_length_a 9.964
_cell_length_b 9.964
_cell_length_c 5.367
_cell_angle_alpha 90.00
_cell_angle_beta 90.00
_cell_angle_gamma 90.00
loop_
_atom_site_label
_atom_site_fract_x
_atom_site_fract_y
_atom_site_fract_z
K1 0.000 0.297 0.000
P1 0.000 0.000 0.709
Pd1 0.000 0.000 0.136
Pd2 0.145 0.145 0.507
# E_tot in eV/atom: -3.663


Entry 2:
# GGA-PBE Pr2NdSm3, optimized geometry
data_Pr2NdSm3
_chemical_formula_sum 'Pr4 Nd2 Sm6'
_space_group_name_H-M_alt 'P n n m'
_space_group_IT_number 58
_cell_length_a 6.814
_cell_length_b 18.025
_cell_length_c 3.456
_cell_angle_alpha 90.00
_cell_angle_beta 90.00
_cell_angle_gamma 90.00
loop_
_space_group_symop_operation_xyz
'x,y,z'
'-x,-y,-z'
'-x,-y,z'
'x,y,-z'
'x+1/2,-y+1/2,-z+1/2'
'-x+1/2,y+1/2,z+1/2'
'-x+1/2,y+1/2,-z+1/2'
'x+1/2,-y+1/2,z+1/2'
loop_
_atom_site_label
_atom_site_fract_x
_atom_site_fract_y
_atom_site_fract_z
Pr1 0.229 0.153 0.000
Nd1 0.000 0.500 0.500
Sm1 0.000 0.000 0.500
Sm2 0.236 0.322 0.500
# E above lowest polymorph in meV per atom: 187


no.,ρ (g cm⁻³),N(E_F) (states/eV/f.u.)
1,4.484,3.87
2,6.863,10.69